# Mn3Ag4O8

A relaxed structure of Mn3Ag4O8 (GGA+U, Alexandria).

Computed properties:
Calculated total energy: -5.743 eV/atom
Volume: 12.670 Å³ per atom
ρ: 6328 kg/m3

Unit cell a=8.997 b=9.099 c=9.287 alpha=89.87 beta=89.41 gamma=89.86
Space group P1 (No. 1)
Symmetry-distinct sites (fractional):
Mn  0.000  0.000  0.000 [1 per cell]
Mn  0.034  0.207  0.746 [1 per cell]
Mn  0.075  0.461  0.542 [1 per cell]
Mn  0.246  0.961  0.791 [1 per cell]
Mn  0.283  0.713  0.586 [1 per cell]
Mn  0.325  0.502  0.335 [1 per cell]
Mn  0.495  0.753  0.837 [1 per cell]
Mn  0.537  0.544  0.087 [1 per cell]
Mn  0.574  0.288  0.294 [1 per cell]
Mn  0.745  0.794  0.042 [1 per cell]
Mn  0.789  0.035  0.251 [1 per cell]
Mn  0.828  0.244  0.493 [1 per cell]
Ag  0.075  0.331  0.149 [1 per cell]
Ag  0.117  0.854  0.312 [1 per cell]
Ag  0.159  0.679  0.054 [1 per cell]
Ag  0.254  0.103  0.429 [1 per cell]
Ag  0.279  0.427  0.877 [1 per cell]
Ag  0.359  0.158  0.063 [1 per cell]
Ag  0.428  0.253  0.634 [1 per cell]
Ag  0.443  0.887  0.277 [1 per cell]
Ag  0.630  0.910  0.536 [1 per cell]
Ag  0.650  0.083  0.793 [1 per cell]
Ag  0.667  0.412  0.760 [1 per cell]
Ag  0.671  0.598  0.514 [1 per cell]
Ag  0.774  0.281  0.011 [1 per cell]
Ag  0.893  0.771  0.687 [1 per cell]
Ag  0.905  0.620  0.285 [1 per cell]
Ag  0.922  0.533  0.901 [1 per cell]
O  0.003  0.209  0.956 [1 per cell]
O  0.025  0.992  0.785 [1 per cell]
O  0.049  0.240  0.534 [1 per cell]
O  0.063  0.418  0.747 [1 per cell]
O  0.074  0.670  0.567 [1 per cell]
O  0.113  0.475  0.336 [1 per cell]
O  0.209  0.977  0.996 [1 per cell]
O  0.244  0.172  0.765 [1 per cell]
O  0.255  0.920  0.589 [1 per cell]
O  0.275  0.742  0.801 [1 per cell]
O  0.295  0.491  0.548 [1 per cell]
O  0.310  0.712  0.378 [1 per cell]
O  0.328  0.532  0.129 [1 per cell]
O  0.362  0.293  0.318 [1 per cell]
O  0.454  0.957  0.828 [1 per cell]
O  0.496  0.728  0.627 [1 per cell]
O  0.506  0.543  0.881 [1 per cell]
O  0.527  0.759  0.054 [1 per cell]
O  0.545  0.510  0.302 [1 per cell]
O  0.552  0.330  0.089 [1 per cell]
O  0.579  0.081  0.257 [1 per cell]
O  0.617  0.281  0.493 [1 per cell]
O  0.705  0.787  0.839 [1 per cell]
O  0.750  0.583  0.071 [1 per cell]
O  0.759  0.827  0.245 [1 per cell]
O  0.779  0.009  0.034 [1 per cell]
O  0.797  0.255  0.281 [1 per cell]
O  0.815  0.037  0.454 [1 per cell]
O  0.823  0.222  0.702 [1 per cell]
O  0.867  0.453  0.506 [1 per cell]
O  0.958  0.795  0.004 [1 per cell]
O  0.999  0.029  0.206 [1 per cell]